# 1
# KBa2Hg | the Alexandria database | GGA-PBEsol | relaxed
# * DFT total energy: -1.78 eV/atom
# * density of states at the Fermi level: 3.0 states/eV/f.u.
# * volume: 192 Å³/cell
data_KBa2Hg
_cell_length_a 4.1674
_cell_length_b 4.1674
_cell_length_c 11.0291
_cell_angle_alpha 90.00
_cell_angle_beta 90.00
_cell_angle_gamma 90.00
_symmetry_space_group_name_H-M 'P 4/m m m'
_symmetry_Int_Tables_number 123
_symmetry_space_group_name_Hall '-P 4 2'
loop_
_atom_site_label
_atom_site_fract_x
_atom_site_fract_y
_atom_site_fract_z
_atom_site_occupancy
K1 0.0000 0.0000 0.0000 1
Ba1 0.5000 0.5000 0.3271 1
Hg1 0.0000 0.0000 0.5000 1

---

# 2
# LiBe2Re | the Alexandria database | GGA-PBEsol | relaxed
# * excess energy over the best structure of this formula in the dataset: 15.5 meV/atom
# * density of states at the Fermi level: 1.6 states/eV/f.u.
# * volume: 48 Å³/cell
data_LiBe2Re
_cell_length_a 2.9678
_cell_length_b 2.9678
_cell_length_c 5.4446
_cell_angle_alpha 90.00
_cell_angle_beta 90.00
_cell_angle_gamma 90.00
_symmetry_space_group_name_H-M 'P 4/m m m'
_symmetry_Int_Tables_number 123
_symmetry_space_group_name_Hall '-P 4 2'
loop_
_atom_site_label
_atom_site_fract_x
_atom_site_fract_y
_atom_site_fract_z
_atom_site_occupancy
Li1 0.0000 0.0000 0.0000 1
Be1 0.5000 0.5000 0.3066 1
Re1 0.0000 0.0000 0.5000 1

---

# 3
# Ag3BiF | the Alexandria database | GGA-PBEsol | relaxed
# * DFT total energy: -2.73 eV/atom
# * density of states at the Fermi level: 9.0 states/eV/f.u.
# * volume: 148 Å³/cell
data_Ag3BiF
_cell_length_a 5.2884
_cell_length_b 5.2884
_cell_length_c 5.2884
_cell_angle_alpha 90.00
_cell_angle_beta 90.00
_cell_angle_gamma 90.00
_symmetry_space_group_name_H-M 'P m -3 m'
_symmetry_Int_Tables_number 221
_symmetry_space_group_name_Hall '-P 4 2 3'
loop_
_atom_site_label
_atom_site_fract_x
_atom_site_fract_y
_atom_site_fract_z
_atom_site_occupancy
Ag1 0.0000 0.0000 0.5000 1
Bi1 0.0000 0.0000 0.0000 1
F1 0.5000 0.5000 0.5000 1

---

# 4
# Li2YPt | the Alexandria database | GGA-PBEsol | relaxed
# * excess energy over the best structure of this formula in the dataset: 0.0 meV/atom
# * density of states at the Fermi level: 1.2 states/eV/f.u.
# * volume: 143 Å³/cell
data_Li2YPt
_cell_length_a 3.9582
_cell_length_b 3.9582
_cell_length_c 9.1011
_cell_angle_alpha 90.00
_cell_angle_beta 90.00
_cell_angle_gamma 90.00
_symmetry_space_group_name_H-M 'I 4/m m m'
_symmetry_Int_Tables_number 139
_symmetry_space_group_name_Hall '-I 4 2'
loop_
_atom_site_label
_atom_site_fract_x
_atom_site_fract_y
_atom_site_fract_z
_atom_site_occupancy
Li1 0.0000 0.5000 0.2500 1
Y1 0.0000 0.0000 0.0000 1
Pt1 0.0000 0.0000 0.5000 1

---

# 5
# CdHg2P2 | the Alexandria database | GGA-PBEsol | relaxed
# * DFT total energy: -2.48 eV/atom
# * density of states at the Fermi level: 2.4 states/eV/f.u.
# * volume: 217 Å³/cell
data_CdHg2P2
_cell_length_a 4.9212
_cell_length_b 4.9212
_cell_length_c 8.9445
_cell_angle_alpha 90.00
_cell_angle_beta 90.00
_cell_angle_gamma 90.00
_symmetry_space_group_name_H-M 'I 4/m m m'
_symmetry_Int_Tables_number 139
_symmetry_space_group_name_Hall '-I 4 2'
loop_
_atom_site_label
_atom_site_fract_x
_atom_site_fract_y
_atom_site_fract_z
_atom_site_occupancy
Cd1 0.0000 0.0000 0.0000 1
Hg1 0.0000 0.5000 0.2500 1
P1 0.0000 0.0000 0.3790 1

---

# 6
# CoRe3Tc | the Alexandria database | GGA-PBEsol | relaxed
# * DFT total energy: -10.09 eV/atom
# * density of states at the Fermi level: 8.7 states/eV/f.u.
# * volume: 80 Å³/cell
data_CoRe3Tc
_cell_length_a 4.3001
_cell_length_b 4.3001
_cell_length_c 4.3001
_cell_angle_alpha 90.00
_cell_angle_beta 90.00
_cell_angle_gamma 90.00
_symmetry_space_group_name_H-M 'P m -3 m'
_symmetry_Int_Tables_number 221
_symmetry_space_group_name_Hall '-P 4 2 3'
loop_
_atom_site_label
_atom_site_fract_x
_atom_site_fract_y
_atom_site_fract_z
_atom_site_occupancy
Co1 0.0000 0.0000 0.0000 1
Re1 0.0000 0.0000 0.5000 1
Tc1 0.5000 0.5000 0.5000 1

---

# 7
# CaLa2Au | the Alexandria database | GGA-PBEsol | relaxed
# * excess energy over the best structure of this formula in the dataset: 169.7 meV/atom
# * density of states at the Fermi level: 6.2 states/eV/f.u.
# * volume: 220 Å³/cell
data_CaLa2Au
_cell_length_a 4.5670
_cell_length_b 4.5670
_cell_length_c 10.5377
_cell_angle_alpha 90.00
_cell_angle_beta 90.00
_cell_angle_gamma 90.00
_symmetry_space_group_name_H-M 'I 4/m m m'
_symmetry_Int_Tables_number 139
_symmetry_space_group_name_Hall '-I 4 2'
loop_
_atom_site_label
_atom_site_fract_x
_atom_site_fract_y
_atom_site_fract_z
_atom_site_occupancy
Ca1 0.0000 0.0000 0.0000 1
La1 0.0000 0.5000 0.2500 1
Au1 0.0000 0.0000 0.5000 1

---

# 8
# Mn4RuW | the Alexandria database | GGA-PBEsol | relaxed
# * DFT total energy: -10.55 eV/atom
# * density of states at the Fermi level: 2.7 states/eV/f.u.
# * volume: 280 Å³/cell
data_Mn4RuW
_cell_length_a 6.5394
_cell_length_b 6.5394
_cell_length_c 6.5394
_cell_angle_alpha 90.00
_cell_angle_beta 90.00
_cell_angle_gamma 90.00
_symmetry_space_group_name_H-M 'F -4 3 m'
_symmetry_Int_Tables_number 216
_symmetry_space_group_name_Hall 'F -4 2 3'
loop_
_atom_site_label
_atom_site_fract_x
_atom_site_fract_y
_atom_site_fract_z
_atom_site_occupancy
Mn1 0.1234 0.1234 0.3766 1
Ru1 0.2500 0.2500 0.7500 1
W1 0.0000 0.0000 0.0000 1

---

# 9
# BaIn2Pt | the Alexandria database | GGA-PBEsol | relaxed
# * DFT total energy: -4.41 eV/atom
# * density of states at the Fermi level: 1.6 states/eV/f.u.
# * volume: 415 Å³/cell
data_BaIn2Pt
_cell_length_a 4.5203
_cell_length_b 11.5355
_cell_length_c 7.9667
_cell_angle_alpha 90.00
_cell_angle_beta 90.00
_cell_angle_gamma 90.00
_symmetry_space_group_name_H-M 'C m c m'
_symmetry_Int_Tables_number 63
_symmetry_space_group_name_Hall '-C 2c 2'
loop_
_atom_site_label
_atom_site_fract_x
_atom_site_fract_y
_atom_site_fract_z
_atom_site_occupancy
Ba1 0.0000 0.0535 0.2500 1
In1 0.0000 0.3380 0.0564 1
Pt1 0.0000 0.2234 0.7500 1

---

# 10
# As2PdSeO | the Alexandria database | GGA-PBEsol | relaxed
# * DFT total energy: -4.03 eV/atom
# * density of states at the Fermi level: 3.3 states/eV/f.u.
# * volume: 111 Å³/cell
data_As2PdSeO
_cell_length_a 4.7226
_cell_length_b 4.7226
_cell_length_c 4.9821
_cell_angle_alpha 90.00
_cell_angle_beta 90.00
_cell_angle_gamma 90.00
_symmetry_space_group_name_H-M 'P 4/m m m'
_symmetry_Int_Tables_number 123
_symmetry_space_group_name_Hall '-P 4 2'
loop_
_atom_site_label
_atom_site_fract_x
_atom_site_fract_y
_atom_site_fract_z
_atom_site_occupancy
As1 0.0000 0.5000 0.0000 1
Pd1 0.0000 0.0000 0.0000 1
Se1 0.0000 0.0000 0.5000 1
O1 0.5000 0.5000 0.5000 1

---

# 11
# BPb2N | the Alexandria database | GGA-PBEsol | relaxed
# * DFT total energy: -5.09 eV/atom
# * density of states at the Fermi level: 0.4 states/eV/f.u.
# * volume: 303 Å³/cell
data_BPb2N
_cell_length_a 5.2997
_cell_length_b 5.2997
_cell_length_c 10.7962
_cell_angle_alpha 90.00
_cell_angle_beta 90.00
_cell_angle_gamma 90.00
_symmetry_space_group_name_H-M 'I -4 2 d'
_symmetry_Int_Tables_number 122
_symmetry_space_group_name_Hall 'I -4 2bw'
loop_
_atom_site_label
_atom_site_fract_x
_atom_site_fract_y
_atom_site_fract_z
_atom_site_occupancy
B1 0.0000 0.0000 0.0000 1
Pb1 0.2501 0.2500 0.1250 1
N1 0.0000 0.0000 0.5000 1

---

# 12
# Na3MnO3 | the Alexandria database | GGA-PBEsol | relaxed
# * excess energy over the best structure of this formula in the dataset: 28.9 meV/atom
# * density of states at the Fermi level: 0.8 states/eV/f.u.
# * volume: 195 Å³/cell
data_Na3MnO3
_cell_length_a 5.5698
_cell_length_b 5.6815
_cell_length_c 6.6204
_cell_angle_alpha 68.51
_cell_angle_beta 88.97
_cell_angle_gamma 89.82
_symmetry_space_group_name_H-M 'P -1'
_symmetry_Int_Tables_number 2
loop_
_symmetry_equiv_pos_as_xyz
'x,y,z'
'-x,-y,-z'
loop_
_atom_site_label
_atom_site_fract_x
_atom_site_fract_y
_atom_site_fract_z
_atom_site_occupancy
Na1 0.0415 0.2492 0.2915 1
Na2 0.3820 0.7636 0.4557 1
Na3 0.4441 0.7671 0.9311 1
Mn1 0.1209 0.1869 0.8219 1
O1 0.1871 0.9814 0.1290 1
O2 0.2382 0.0920 0.6064 1
O3 0.2916 0.4686 0.7993 1